Record 1
4
Lattice="-1.033 0.778 -2.893 1.642 -2.687 -0.357 -8.934 -5.681 1.662" Properties=species:S:1:pos:R:3 comment="PBE Te2PtSe, relaxed" density_g_cm3=8.49 sg="No. 35" total_energy_ev_per_cell=-15.04 magmom_total_mub_per_cell=0.0 formation_energy_uncorrected_ev_per_atom=0.193 pbc="T T T"
Pt -4.533 -2.882 0.843
Se -5.678 -4.759 -0.512
Te -8.928 -5.677 1.661
Te -2.587 -2.793 -1.087

=====

Record 2
5
Lattice="-3.741 -3.317 -1.886 3.780 -2.863 -2.463 0.519 -3.059 4.351" Properties=species:S:1:pos:R:3 comment="PBE Te3PtSe, relaxed" density_g_cm3=7.15 relative_energy_mev_per_atom=568 sg="No. 221" total_energy_ev_per_cell=-13.60 magmom_total_mub_per_cell=0.0 formation_energy_uncorrected_ev_per_atom=1.069 pbc="T T T"
Te 1.890 -1.432 -1.232
Te 0.259 -1.529 2.175
Te -1.871 -1.658 -0.943
Se 0.000 0.000 0.000
Pt 0.279 -4.619 0.001

=====

Record 3
4
Lattice="2.379 0.000 8.040 -1.189 2.060 8.040 -1.189 -2.060 8.040" Properties=species:S:1:pos:R:3 comment="PBE Te2PtSe, relaxed" density_g_cm3=7.44 sg="No. 166" total_energy_ev_per_cell=-16.34 magmom_total_mub_per_cell=0.0 formation_energy_uncorrected_ev_per_atom=-0.133 pbc="T T T"
Te 0.000 0.000 21.458
Te 0.000 0.000 2.662
Se 0.000 0.000 0.000
Pt 0.000 0.000 12.060

=====

Record 4
4
Lattice="-0.917 3.696 3.528 -4.317 -2.480 1.471 1.712 -1.676 2.201" Properties=species:S:1:pos:R:3 comment="PBE Te2PtSe, relaxed" density_g_cm3=10.02 sg="No. 123" total_energy_ev_per_cell=-14.41 magmom_total_mub_per_cell=0.0 formation_energy_uncorrected_ev_per_atom=0.349 pbc="T T T"
Pt 0.397 1.010 2.864
Se -1.302 -2.078 1.836
Te 0.000 0.000 0.000
Te -2.617 0.608 2.499

=====

Record 5
5
Lattice="4.282 0.000 0.000 0.000 4.282 0.000 2.141 2.141 5.649" Properties=species:S:1:pos:R:3 comment="PBE TePt2Se2, relaxed" density_g_cm3=10.83 relative_energy_mev_per_atom=6 sg="No. 139" total_energy_ev_per_cell=-21.25 magmom_total_mub_per_cell=0.0 formation_energy_uncorrected_ev_per_atom=0.189 pbc="T T T"
Te 0.000 0.000 0.000
Se 4.282 2.141 2.824
Se 2.141 4.282 2.824
Pt 2.141 2.141 1.352
Pt 4.282 4.282 4.297

=====

Record 6
4
Lattice="4.029 0.000 0.000 0.000 5.129 -0.007 0.000 1.964 4.738" Properties=species:S:1:pos:R:3 comment="PBE Te2PtSe, relaxed" density_g_cm3=8.97 sg="No. 65" total_energy_ev_per_cell=-16.42 magmom_total_mub_per_cell=0.0 formation_energy_uncorrected_ev_per_atom=-0.152 pbc="T T T"
Pt 2.014 1.773 1.183
Se 2.014 5.320 3.549
Te 0.000 0.308 0.205
Te 0.000 3.239 2.161